(1)
Li2MnHPt: relaxed, GGA-PBE.

The structure in CIF format:
```
data_Li2MnHPt
_cell_length_a 3.787
_cell_length_b 3.787
_cell_length_c 3.961
_cell_angle_alpha 90.00
_cell_angle_beta 90.00
_cell_angle_gamma 90.00
_space_group_name_H-M_alt 'P 4/m m m'
_space_group_IT_number 123
_space_group_name_Hall '-P 4 2'
loop_
_atom_site_label
_atom_site_fract_x
_atom_site_fract_y
_atom_site_fract_z
Li1 0.000 0.500 0.000
Mn1 0.000 0.000 0.500
H1 0.000 0.000 0.000
Pt1 0.500 0.500 0.500
```

Values from the calculation:
Density = 7.75 Mg/m³
Raw total energy = -23.83 eV/cell
Fermi-level density of states = 1.14 states/eV/f.u.

(2)
LiMn2ReH: relaxed, GGA-PBE.

The structure in CIF format:
```
data_LiMn2ReH
_cell_length_a 3.727
_cell_length_b 3.727
_cell_length_c 4.220
_cell_angle_alpha 90.00
_cell_angle_beta 90.00
_cell_angle_gamma 90.00
_space_group_name_H-M_alt 'P 4/m m m'
_space_group_IT_number 123
_space_group_name_Hall '-P 4 2'
loop_
_atom_site_label
_atom_site_fract_x
_atom_site_fract_y
_atom_site_fract_z
Li1 0.000 0.000 0.000
Mn1 0.000 0.500 0.000
Re1 0.000 0.000 0.500
H1 0.500 0.500 0.500
```

Values from the calculation:
Density = 8.61 Mg/m³
Raw total energy = -25.21 eV/cell
Fermi-level density of states = 6.89 states/eV/f.u.

(3)
LiMnHRh2: relaxed, GGA-PBE.

The structure in CIF format:
```
data_LiMnHRh2
_cell_length_a 3.968
_cell_length_b 3.968
_cell_length_c 3.480
_cell_angle_alpha 90.00
_cell_angle_beta 90.00
_cell_angle_gamma 90.00
_space_group_name_H-M_alt 'P 4/m m m'
_space_group_IT_number 123
_space_group_name_Hall '-P 4 2'
loop_
_atom_site_label
_atom_site_fract_x
_atom_site_fract_y
_atom_site_fract_z
Li1 0.000 0.000 0.000
Mn1 0.500 0.500 0.000
H1 0.000 0.000 0.500
Rh1 0.000 0.500 0.500
```

Values from the calculation:
Offset from the most stable computed form = 0.000 eV per atom
Density = 8.14 Mg/m³
Raw total energy = -30.14 eV/cell
Fermi-level density of states = 1.92 states/eV/f.u.

(4)
LiMn2HRh: relaxed, GGA-PBE.

The structure in CIF format:
```
data_LiMn2HRh
_cell_length_a 3.683
_cell_length_b 3.683
_cell_length_c 3.839
_cell_angle_alpha 90.00
_cell_angle_beta 90.00
_cell_angle_gamma 90.00
_space_group_name_H-M_alt 'P 4/m m m'
_space_group_IT_number 123
_space_group_name_Hall '-P 4 2'
loop_
_atom_site_label
_atom_site_fract_x
_atom_site_fract_y
_atom_site_fract_z
Li1 0.000 0.000 0.000
Mn1 0.000 0.500 0.500
H1 0.000 0.000 0.500
Rh1 0.500 0.500 0.000
```

Values from the calculation:
Density = 7.04 Mg/m³
Raw total energy = -30.89 eV/cell
Fermi-level density of states = 3.53 states/eV/f.u.

(5)
Li2MnH6Rh: relaxed, GGA-PBE.

The structure in CIF format:
```
data_Li2MnH6Rh
_cell_length_a 4.7546
_cell_length_b 4.7546
_cell_length_c 11.6302
_cell_angle_alpha 90.00
_cell_angle_beta 90.00
_cell_angle_gamma 120.00
_space_group_name_H-M_alt 'R -3'
_space_group_IT_number 148
_space_group_name_Hall '-R 3'
loop_
_atom_site_label
_atom_site_fract_x
_atom_site_fract_y
_atom_site_fract_z
Li1 0.0000 0.0000 0.2462
Mn1 0.0000 0.0000 0.5000
H1 0.0027 0.5938 0.7497
Rh1 0.0000 0.0000 0.0000
```

Values from the calculation:
Density = 3.89 Mg/m³
Raw total energy = -126.98 eV/cell
Fermi-level density of states = 2.87 states/eV/f.u.

(6)
LiMnHRh2: relaxed, GGA-PBE.

The structure in CIF format:
```
data_LiMnHRh2
_cell_length_a 3.923
_cell_length_b 3.923
_cell_length_c 3.656
_cell_angle_alpha 90.00
_cell_angle_beta 90.00
_cell_angle_gamma 90.00
_space_group_name_H-M_alt 'P 4/m m m'
_space_group_IT_number 123
_space_group_name_Hall '-P 4 2'
loop_
_atom_site_label
_atom_site_fract_x
_atom_site_fract_y
_atom_site_fract_z
Li1 0.000 0.000 0.000
Mn1 0.500 0.500 0.000
H1 0.500 0.500 0.500
Rh1 0.000 0.500 0.500
```

Values from the calculation:
Offset from the most stable computed form = 0.087 eV per atom
Density = 7.93 Mg/m³
Raw total energy = -29.71 eV/cell
Fermi-level density of states = 1.99 states/eV/f.u.

(7)
LiMn2HRu: relaxed, GGA-PBE.

The structure in CIF format:
```
data_LiMn2HRu
_cell_length_a 3.705
_cell_length_b 3.705
_cell_length_c 3.715
_cell_angle_alpha 90.00
_cell_angle_beta 90.00
_cell_angle_gamma 90.00
_space_group_name_H-M_alt 'P 4/m m m'
_space_group_IT_number 123
_space_group_name_Hall '-P 4 2'
loop_
_atom_site_label
_atom_site_fract_x
_atom_site_fract_y
_atom_site_fract_z
Li1 0.000 0.000 0.000
Mn1 0.000 0.500 0.500
H1 0.000 0.000 0.500
Ru1 0.500 0.500 0.000
```

Values from the calculation:
Density = 7.13 Mg/m³
Raw total energy = -32.04 eV/cell
Fermi-level density of states = 4.58 states/eV/f.u.

(8)
Li2MnSbH: relaxed, GGA-PBE.

The structure in CIF format:
```
data_Li2MnSbH
_cell_length_a 4.055
_cell_length_b 4.055
_cell_length_c 4.110
_cell_angle_alpha 90.00
_cell_angle_beta 90.00
_cell_angle_gamma 90.00
_space_group_name_H-M_alt 'P 4/m m m'
_space_group_IT_number 123
_space_group_name_Hall '-P 4 2'
loop_
_atom_site_label
_atom_site_fract_x
_atom_site_fract_y
_atom_site_fract_z
Li1 0.000 0.500 0.000
Mn1 0.000 0.000 0.500
Sb1 0.500 0.500 0.500
H1 0.000 0.000 0.000
```

Values from the calculation:
Density = 4.71 Mg/m³
Raw total energy = -21.75 eV/cell
Fermi-level density of states = 1.98 states/eV/f.u.

(9)
LiMn2SnH: relaxed, GGA-PBE.

The structure in CIF format:
```
data_LiMn2SnH
_cell_length_a 3.857
_cell_length_b 3.857
_cell_length_c 4.043
_cell_angle_alpha 90.00
_cell_angle_beta 90.00
_cell_angle_gamma 90.00
_space_group_name_H-M_alt 'P 4/m m m'
_space_group_IT_number 123
_space_group_name_Hall '-P 4 2'
loop_
_atom_site_label
_atom_site_fract_x
_atom_site_fract_y
_atom_site_fract_z
Li1 0.000 0.000 0.000
Mn1 0.000 0.500 0.500
Sn1 0.500 0.500 0.000
H1 0.000 0.000 0.500
```

Values from the calculation:
Density = 6.53 Mg/m³
Raw total energy = -28.02 eV/cell
Fermi-level density of states = 2.02 states/eV/f.u.

(10)
SrLi2MnH6: relaxed, GGA-PBE.

The structure in CIF format:
```
data_SrLi2MnH6
_cell_length_a 5.008
_cell_length_b 5.058
_cell_length_c 8.651
_cell_angle_alpha 90.00
_cell_angle_beta 125.33
_cell_angle_gamma 90.00
_space_group_name_H-M_alt 'P 1 21/c 1'
_space_group_IT_number 14
_space_group_name_Hall '-P 2ybc'
loop_
_atom_site_label
_atom_site_fract_x
_atom_site_fract_y
_atom_site_fract_z
Sr1 0.000 0.000 0.000
Li1 0.272 0.063 0.772
Mn1 0.500 0.000 0.500
H1 0.121 0.103 0.341
H2 0.434 0.606 0.156
H3 0.450 0.688 0.447
```

Values from the calculation:
Density = 3.02 Mg/m³
Raw total energy = -74.80 eV/cell
Fermi-level density of states = 3.08 states/eV/f.u.

(11)
Li2MnZnH: relaxed, GGA-PBE.

The structure in CIF format:
```
data_Li2MnZnH
_cell_length_a 3.831
_cell_length_b 3.831
_cell_length_c 3.952
_cell_angle_alpha 90.00
_cell_angle_beta 90.00
_cell_angle_gamma 90.00
_space_group_name_H-M_alt 'P 4/m m m'
_space_group_IT_number 123
_space_group_name_Hall '-P 4 2'
loop_
_atom_site_label
_atom_site_fract_x
_atom_site_fract_y
_atom_site_fract_z
Li1 0.000 0.500 0.000
Mn1 0.000 0.000 0.500
Zn1 0.500 0.500 0.500
H1 0.000 0.000 0.000
```

Values from the calculation:
Density = 3.87 Mg/m³
Raw total energy = -17.73 eV/cell
Fermi-level density of states = 3.10 states/eV/f.u.

(12)
Li2MnZnH6: relaxed, GGA-PBE.

The structure in CIF format:
```
data_Li2MnZnH6
_cell_length_a 4.505
_cell_length_b 4.589
_cell_length_c 5.064
_cell_angle_alpha 91.13
_cell_angle_beta 92.62
_cell_angle_gamma 118.94
_space_group_name_H-M_alt 'P 1'
_space_group_IT_number 1
_space_group_name_Hall 'P 1'
loop_
_atom_site_label
_atom_site_fract_x
_atom_site_fract_y
_atom_site_fract_z
Li1 0.000 0.000 0.000
Li2 0.331 0.666 0.500
Mn1 0.332 0.656 0.000
Zn1 0.667 0.327 0.000
H1 0.036 0.381 0.785
H2 0.066 0.681 0.198
H3 0.326 0.935 0.803
H4 0.343 0.390 0.210
H5 0.609 0.665 0.797
H6 0.612 0.957 0.208
```

Values from the calculation:
Density = 2.55 Mg/m³
Raw total energy = -35.93 eV/cell
Fermi-level density of states = 2.40 states/eV/f.u.